(1)
GGA-PBE MgTaAg, optimized geometry; calculated total energy = -0.3897 Ry per atom; space-group type = P2/m (10); crystal system = monoclinic; offset from the most stable computed form = 73 meV/atom
1.0
-1.915 -2.385 -1.124
4.557 -5.313 3.512
-3.186 1.158 2.969
Mg Ag Ta
2 2 2
Direct
0.332 0.279 0.162
0.332 0.971 0.508
0.832 0.300 0.672
0.832 0.949 0.997
0.832 0.625 0.335
0.332 0.625 0.835


(2)
GGA-PBE MgTaAg, optimized geometry; calculated total energy = -0.3453 Ry per atom; space-group type = F-43m (216); crystal system = cubic; offset from the most stable computed form = 677 meV/atom
1.0
4.451 0.000 0.000
2.226 3.855 0.000
2.226 1.285 3.634
Ag Mg Ta
1 1 1
Direct
0.750 0.750 0.750
0.000 0.000 0.000
0.500 0.500 0.500


(3)
GGA-PBE MgTaAg2, optimized geometry; calculated total energy = -0.3412 Ry per atom; space-group type = P4mm (99); crystal system = tetragonal
1.0
2.902 0.000 0.000
0.000 2.902 0.000
0.000 0.000 8.626
Ag Mg Ta
2 1 1
Direct
0.000 0.000 0.003
0.500 0.500 0.251
0.000 0.000 0.495
0.500 0.500 0.752


(4)
GGA-PBE MgTaAg3, optimized geometry; calculated total energy = -0.2302 Ry per atom; space-group type = Pm-3m (221); crystal system = cubic; offset from the most stable computed form = 89 meV/atom
1.0
5.156 0.000 0.000
0.000 5.156 0.000
0.000 0.000 5.156
Mg Ag Ta
1 3 1
Direct
0.500 0.500 0.500
0.000 0.500 0.000
0.000 0.000 0.500
0.500 0.000 0.000
0.000 0.000 0.000


(5)
GGA-PBE MgTaAg2, optimized geometry; calculated total energy = -0.3434 Ry per atom; space-group type = P4/mmm (123); crystal system = tetragonal
1.0
-1.248 -1.716 -2.048
-1.493 -1.427 2.105
-6.167 5.366 -0.737
Ag Mg Ta
2 1 1
Direct
0.000 0.000 0.005
0.000 0.000 0.495
0.500 0.500 0.250
0.500 0.500 0.750


(6)
GGA-PBE MgTaAg, optimized geometry; calculated total energy = -0.2460 Ry per atom; space-group type = P6_3/mmc (194); crystal system = hexagonal; offset from the most stable computed form = 2028 meV/atom
1.0
-1.947 -3.034 -1.813
3.297 1.586 -1.703
6.166 -7.124 5.303
Mg Ag Ta
2 2 2
Direct
0.000 0.000 0.250
0.000 0.000 0.750
0.333 0.667 0.250
0.667 0.333 0.750
0.000 0.000 0.000
0.000 0.000 0.500


(7)
GGA-PBE MgTaAg2, optimized geometry; calculated total energy = -0.3426 Ry per atom; space-group type = R-3m (166); crystal system = trigonal
1.0
9.905 0.008 0.005
9.468 2.909 0.005
9.468 1.426 2.536
Ag Mg Ta
2 1 1
Direct
0.999 0.999 0.999
0.501 0.501 0.501
0.250 0.250 0.250
0.750 0.750 0.750


(8)
GGA-PBE MgTaAg, optimized geometry; calculated total energy = -0.3795 Ry per atom; space-group type = Pnma (62); crystal system = orthorhombic; offset from the most stable computed form = 211 meV/atom
1.0
5.096 0.000 0.000
0.000 4.943 0.000
0.000 0.000 8.786
Mg Ag Ta
4 4 4
Direct
0.840 0.250 0.529
0.660 0.750 0.029
0.160 0.750 0.471
0.340 0.250 0.971
0.830 0.250 0.851
0.670 0.750 0.351
0.170 0.750 0.149
0.330 0.250 0.649
0.397 0.250 0.301
0.103 0.750 0.801
0.603 0.750 0.699
0.897 0.250 0.199


no.,formation enthalpy at 0 K (eV per atom)
1,0.131
2,0.735
3,0.145
4,1.268
5,0.115
6,2.086
7,0.126
8,0.269